No. 1
# MgCo4Rh (PBE, relaxed)
data_MgCo4Rh
_symmetry_space_group_name_H-M 'F -4 3 m'
_symmetry_Int_Tables_number 216
_symmetry_space_group_name_Hall 'F -4 2 3'
_cell_length_a 6.735
_cell_length_b 6.735
_cell_length_c 6.735
_cell_angle_alpha 90.00
_cell_angle_beta 90.00
_cell_angle_gamma 90.00
loop_
_atom_site_label
_atom_site_type_symbol
_atom_site_fract_x
_atom_site_fract_y
_atom_site_fract_z
Mg1 Mg 0.000 0.000 0.000
Co1 Co 0.125 0.125 0.625
Rh1 Rh 0.250 0.250 0.250
# Magnetic moment, μB per formula unit: 7.594
# VASP energy, eV/atom: -6.235
# Formation energy from the elements, meV/atom: -6

No. 2
# MgCo2Rh2 (PBE, relaxed)
data_MgCo2Rh2
_symmetry_space_group_name_H-M 'P 4/m b m'
_symmetry_Int_Tables_number 127
_symmetry_space_group_name_Hall '-P 4 2ab'
_cell_length_a 7.234
_cell_length_b 7.234
_cell_length_c 2.733
_cell_angle_alpha 90.00
_cell_angle_beta 90.00
_cell_angle_gamma 90.00
loop_
_atom_site_label
_atom_site_type_symbol
_atom_site_fract_x
_atom_site_fract_y
_atom_site_fract_z
Mg1 Mg 0.000 0.000 0.000
Co1 Co 0.166 0.334 0.500
Rh1 Rh 0.131 0.631 0.000
# Magnetic moment, μB per formula unit: 4.544
# VASP energy, eV/atom: -6.050
# Formation energy from the elements, meV/atom: 52
# ΔE to the lowest computed polymorph, eV/atom: 0.0604

No. 3
# Mg2CoSb2Rh (PBE, relaxed)
data_Mg2CoSb2Rh
_symmetry_space_group_name_H-M 'I b a m'
_symmetry_Int_Tables_number 72
_symmetry_space_group_name_Hall '-I 2 2c'
_cell_length_a 6.106
_cell_length_b 12.487
_cell_length_c 6.050
_cell_angle_alpha 90.00
_cell_angle_beta 90.00
_cell_angle_gamma 90.00
loop_
_atom_site_label
_atom_site_type_symbol
_atom_site_fract_x
_atom_site_fract_y
_atom_site_fract_z
Mg1 Mg 0.242 0.139 0.000
Co1 Co 0.000 0.500 0.250
Sb1 Sb 0.231 0.373 0.000
Rh1 Rh 0.000 0.000 0.250
# Uncorrected formation energy, meV per atom: -391
# Magnetic moment, μB per formula unit: 1.031
# VASP energy, eV/atom: -4.707

No. 4
# Mg2ScCoRh (PBE, relaxed)
data_Mg2ScCoRh
_symmetry_space_group_name_H-M 'P 4/m m m'
_symmetry_Int_Tables_number 123
_symmetry_space_group_name_Hall '-P 4 2'
_cell_length_a 5.124
_cell_length_b 5.124
_cell_length_c 4.044
_cell_angle_alpha 90.00
_cell_angle_beta 90.00
_cell_angle_gamma 90.00
loop_
_atom_site_label
_atom_site_type_symbol
_atom_site_fract_x
_atom_site_fract_y
_atom_site_fract_z
Mg1 Mg 0.000 0.500 0.000
Sc1 Sc 0.000 0.000 0.000
Co1 Co 0.000 0.000 0.500
Rh1 Rh 0.500 0.500 0.500
# Magnetic moment, μB per formula unit: 0.000
# VASP energy, eV/atom: -3.601
# Formation energy from the elements, meV/atom: 1195

No. 5
# MgScCoRh2 (PBE, relaxed)
data_MgScCoRh2
_symmetry_space_group_name_H-M 'P 4/m m m'
_symmetry_Int_Tables_number 123
_symmetry_space_group_name_Hall '-P 4 2'
_cell_length_a 4.562
_cell_length_b 4.562
_cell_length_c 4.390
_cell_angle_alpha 90.00
_cell_angle_beta 90.00
_cell_angle_gamma 90.00
loop_
_atom_site_label
_atom_site_type_symbol
_atom_site_fract_x
_atom_site_fract_y
_atom_site_fract_z
Mg1 Mg 0.000 0.000 0.000
Sc1 Sc 0.500 0.500 0.000
Co1 Co 0.000 0.000 0.500
Rh1 Rh 0.000 0.500 0.500
# Magnetic moment, μB per formula unit: 2.131
# VASP energy, eV/atom: -5.707
# Formation energy from the elements, meV/atom: 240

No. 6
# MgScCoRh (PBE, relaxed)
data_MgScCoRh
_symmetry_space_group_name_H-M 'F -4 3 m'
_symmetry_Int_Tables_number 216
_symmetry_space_group_name_Hall 'F -4 2 3'
_cell_length_a 6.248
_cell_length_b 6.248
_cell_length_c 6.248
_cell_angle_alpha 90.00
_cell_angle_beta 90.00
_cell_angle_gamma 90.00
loop_
_atom_site_label
_atom_site_type_symbol
_atom_site_fract_x
_atom_site_fract_y
_atom_site_fract_z
Mg1 Mg 0.000 0.000 0.000
Sc1 Sc 0.000 0.000 0.500
Co1 Co 0.250 0.250 0.750
Rh1 Rh 0.250 0.250 0.250
# Magnetic moment, μB per formula unit: 0.000
# VASP energy, eV/atom: -6.037
# Formation energy from the elements, meV/atom: -441

No. 7
# Mg2Sc5Co2Rh (PBE, relaxed)
data_Mg2Sc5Co2Rh
_symmetry_space_group_name_H-M 'P 4/m b m'
_symmetry_Int_Tables_number 127
_symmetry_space_group_name_Hall '-P 4 2ab'
_cell_length_a 10.849
_cell_length_b 10.849
_cell_length_c 3.263
_cell_angle_alpha 90.00
_cell_angle_beta 90.00
_cell_angle_gamma 90.00
loop_
_atom_site_label
_atom_site_type_symbol
_atom_site_fract_x
_atom_site_fract_y
_atom_site_fract_z
Mg1 Mg 0.176 0.324 0.000
Sc1 Sc 0.000 0.500 0.500
Sc2 Sc 0.068 0.798 0.500
Co1 Co 0.130 0.630 0.000
Rh1 Rh 0.000 0.000 0.000
# Magnetic moment, μB per formula unit: 0.000
# VASP energy, eV/atom: -5.989
# Formation energy from the elements, meV/atom: -348

No. 8
# MgCoSiRh (PBE, relaxed)
data_MgCoSiRh
_symmetry_space_group_name_H-M 'F -4 3 m'
_symmetry_Int_Tables_number 216
_symmetry_space_group_name_Hall 'F -4 2 3'
_cell_length_a 5.872
_cell_length_b 5.872
_cell_length_c 5.872
_cell_angle_alpha 90.00
_cell_angle_beta 90.00
_cell_angle_gamma 90.00
loop_
_atom_site_label
_atom_site_type_symbol
_atom_site_fract_x
_atom_site_fract_y
_atom_site_fract_z
Mg1 Mg 0.000 0.000 0.000
Co1 Co 0.250 0.250 0.250
Si1 Si 0.000 0.000 0.500
Rh1 Rh 0.250 0.250 0.750
# Uncorrected formation energy, meV per atom: -516
# Magnetic moment, μB per formula unit: 0.001
# VASP energy, eV/atom: -5.884

No. 9
# SmMgCoRh (PBE, relaxed)
data_SmMgCoRh
_symmetry_space_group_name_H-M 'F -4 3 m'
_symmetry_Int_Tables_number 216
_symmetry_space_group_name_Hall 'F -4 2 3'
_cell_length_a 6.566
_cell_length_b 6.566
_cell_length_c 6.566
_cell_angle_alpha 90.00
_cell_angle_beta 90.00
_cell_angle_gamma 90.00
loop_
_atom_site_label
_atom_site_type_symbol
_atom_site_fract_x
_atom_site_fract_y
_atom_site_fract_z
Sm1 Sm 0.000 0.000 0.000
Mg1 Mg 0.000 0.000 0.500
Co1 Co 0.250 0.250 0.250
Rh1 Rh 0.250 0.250 0.750
# Magnetic moment, μB per formula unit: 0.000
# VASP energy, eV/atom: -5.432
# Formation energy from the elements, meV/atom: -239

No. 10
# Mg3CoSn3Rh2 (PBE, relaxed)
data_Mg3CoSn3Rh2
_symmetry_space_group_name_H-M 'P -6 2 m'
_symmetry_Int_Tables_number 189
_symmetry_space_group_name_Hall 'P -6 -2'
_cell_length_a 7.4555
_cell_length_b 7.4555
_cell_length_c 3.3443
_cell_angle_alpha 90.00
_cell_angle_beta 90.00
_cell_angle_gamma 120.00
loop_
_atom_site_label
_atom_site_type_symbol
_atom_site_fract_x
_atom_site_fract_y
_atom_site_fract_z
Mg1 Mg 0.0000 0.3904 0.0000
Co1 Co 0.0000 0.0000 0.0000
Sn1 Sn 0.0000 0.7282 0.5000
Rh1 Rh 0.3333 0.6667 0.5000
# Magnetic moment, μB per formula unit: 0.006
# VASP energy, eV/atom: -4.654
# Formation energy from the elements, meV/atom: -365

No. 11
# MgCoSnRh (PBE, relaxed)
data_MgCoSnRh
_symmetry_space_group_name_H-M 'F -4 3 m'
_symmetry_Int_Tables_number 216
_symmetry_space_group_name_Hall 'F -4 2 3'
_cell_length_a 6.235
_cell_length_b 6.235
_cell_length_c 6.235
_cell_angle_alpha 90.00
_cell_angle_beta 90.00
_cell_angle_gamma 90.00
loop_
_atom_site_label
_atom_site_type_symbol
_atom_site_fract_x
_atom_site_fract_y
_atom_site_fract_z
Mg1 Mg 0.000 0.000 0.000
Co1 Co 0.250 0.250 0.250
Sn1 Sn 0.000 0.000 0.500
Rh1 Rh 0.250 0.250 0.750
# Magnetic moment, μB per formula unit: 0.105
# VASP energy, eV/atom: -5.356
# Formation energy from the elements, meV/atom: -343

No. 12
# SrMgCo2Rh (PBE, relaxed)
data_SrMgCo2Rh
_symmetry_space_group_name_H-M 'P 4/m m m'
_symmetry_Int_Tables_number 123
_symmetry_space_group_name_Hall '-P 4 2'
_cell_length_a 4.741
_cell_length_b 4.741
_cell_length_c 5.002
_cell_angle_alpha 90.00
_cell_angle_beta 90.00
_cell_angle_gamma 90.00
loop_
_atom_site_label
_atom_site_type_symbol
_atom_site_fract_x
_atom_site_fract_y
_atom_site_fract_z
Sr1 Sr 0.000 0.000 0.000
Mg1 Mg 0.500 0.500 0.500
Co1 Co 0.000 0.500 0.000
Rh1 Rh 0.000 0.000 0.500
# Magnetic moment, μB per formula unit: 2.667
# VASP energy, eV/atom: -3.266
# Formation energy from the elements, meV/atom: 1702

Number 1: calculated volume 305.4 Å³/cell. Number 2: calculated volume 143.0 Å³/cell. Number 3: calculated volume 461.3 Å³/cell. Number 4: calculated volume 106.2 Å³/cell. Number 5: calculated volume 91.4 Å³/cell. Number 6: calculated volume 243.9 Å³/cell. Number 7: calculated volume 384.1 Å³/cell. Number 8: calculated volume 202.5 Å³/cell. Number 9: calculated volume 283.0 Å³/cell. Number 10: calculated volume 161.0 Å³/cell. Number 11: calculated volume 242.4 Å³/cell. Number 12: calculated volume 112.4 Å³/cell.